First-principles (PBE) data for a relaxed structure of LaAg2TeS4, as listed in the Alexandria database.

Properties
The crystal system is monoclinic. For the formation energy (no corrections), the calculation gives -0.61 eV/atom. The total DFT energy (no corrections) comes out at -4.3992 eV per atom.

Geometry as CIF:
```
data_LaAg2TeS4
_cell_length_a 10.152
_cell_length_b 12.601
_cell_length_c 7.715
_cell_angle_alpha 90.00
_cell_angle_beta 123.74
_cell_angle_gamma 90.00
_space_group_name_H-M_alt 'C 1 2/c 1'
_space_group_IT_number 15
loop_
_space_group_symop_operation_xyz
'x,y,z'
'-x,-y,-z'
'-x,y,-z+1/2'
'x,-y,z+1/2'
'x+1/2,y+1/2,z'
'-x+1/2,-y+1/2,-z'
'-x+1/2,y+1/2,-z+1/2'
'x+1/2,-y+1/2,z+1/2'
loop_
_atom_site_label
_atom_site_type_symbol
_atom_site_fract_x
_atom_site_fract_y
_atom_site_fract_z
La1 La 0.250 0.250 0.000
Ag1 Ag 0.000 0.000 0.000
Ag2 Ag 0.250 0.250 0.500
Te1 Te 0.000 0.500 0.000
S1 S 0.044 0.289 0.549
S2 S 0.198 0.026 0.879
```